# 1
GdCuBiPd | GGA-PBE | relaxed

Output
Formation enthalpy at 0 K = -0.47 eV/atom

Structure (CIF):
```
data_GdCuBiPd
_cell_length_a 4.907
_cell_length_b 4.907
_cell_length_c 4.907
_cell_angle_alpha 60.00
_cell_angle_beta 60.00
_cell_angle_gamma 60.00
_space_group_name_H-M_alt 'P 1'
_space_group_IT_number 1
_space_group_name_Hall 'P 1'
loop_
_atom_site_label
_atom_site_fract_x
_atom_site_fract_y
_atom_site_fract_z
_atom_site_occupancy
Gd1 0.000 0.000 0.000 1
Cu1 0.750 0.750 0.750 1
Bi1 0.500 0.500 0.500 1
Pd1 0.250 0.250 0.250 1
```

=====

# 2
PmGdCuBi | GGA-PBE | relaxed

Output
Formation enthalpy at 0 K = -0.37 eV/atom

Structure (CIF):
```
data_PmGdCuBi
_cell_length_a 5.311
_cell_length_b 5.311
_cell_length_c 5.311
_cell_angle_alpha 60.00
_cell_angle_beta 60.00
_cell_angle_gamma 60.00
_space_group_name_H-M_alt 'P 1'
_space_group_IT_number 1
_space_group_name_Hall 'P 1'
loop_
_atom_site_label
_atom_site_fract_x
_atom_site_fract_y
_atom_site_fract_z
_atom_site_occupancy
Pm1 0.000 0.000 0.000 1
Gd1 0.500 0.500 0.500 1
Cu1 0.250 0.250 0.250 1
Bi1 0.750 0.750 0.750 1
```